Density functional theory data (PBE with a Hubbard U) for WO2 after structural relaxation.

Lattice parameters (Å, degrees): 4.8796 4.8796 4.8796 38.89 38.89 38.89
Sites, in units of the cell vectors:
O  0.7615  0.7615  0.7615
O  0.2385  0.2385  0.2385
W  0.5000  0.5000  0.5000

Summary:
E_tot   -7.45 eV/atom
D(E_F)   0.000 states/eV/atom